Record 1
# MgAl2Si2

A crystal of MgAl2Si2 relaxed with PBEsol (SCAN, the Alexandria database).

a b c (Å): 4.0620 4.0620 6.5927
angles (deg): 90.00 90.00 120.00
Closest atoms and distances in Å follow each position.
Fractional positions:
1 Mg 0.0000 0.0000 0.0000  6 Si 2.83
2 Al 0.3333 0.6667 0.3661  4 Si 2.49-2.59
3 Al 0.6667 0.3333 0.6339  4 Si 2.49-2.59
4 Si 0.3333 0.6667 0.7595  4 Al 2.49-2.59
5 Si 0.6667 0.3333 0.2405  4 Al 2.49-2.59

Calculated values
E_tot: -8.1063 eV per atom
symmetry: P-3m1 (164)
energy relative to the elements, uncorrected: -4 meV/atom

=====

Record 2
# Mg17Al11Si

A crystal of Mg17Al11Si relaxed with PBEsol (SCAN, the Alexandria database).

a b c (Å): 9.0465 9.0465 9.0039
angles (deg): 109.38 109.38 109.47
Closest atoms and distances in Å follow each position.
Fractional positions:
1 Mg 0.0000 0.0000 0.0000  4 Mg 3.11-3.14, 11 Al 3.16-3.18, 1 Si 3.17
2 Mg 0.0006 0.0006 0.6554  4 Mg 3.02-3.11, 6 Al 3.07-3.09
3 Mg 0.2856 0.6006 0.6012  5 Al 2.87-3.19, 7 Mg 3.01-3.14
4 Mg 0.3145 0.3145 0.7122  5 Al 2.88-3.14, 7 Mg 3.02-3.14
5 Mg 0.3156 0.7129 0.3151  5 Al 2.88-3.15, 7 Mg 3.01-3.14
6 Mg 0.3444 0.3444 0.3445  4 Mg 3.01-3.12, 6 Al 3.07-3.10
7 Mg 0.3954 0.6820 0.9974  4 Al 2.86-3.10, 7 Mg 3.02-3.14, 1 Si 3.18
8 Mg 0.3966 0.9982 0.6816  5 Al 2.87-3.15, 7 Mg 3.02-3.14
9 Mg 0.6006 0.2856 0.6012  5 Al 2.87-3.19, 7 Mg 3.01-3.14
10 Mg 0.6029 0.6029 0.2825  1 Si 2.84, 4 Al 2.98-3.16, 7 Mg 3.06-3.14
11 Mg 0.6521 0.9989 0.9998  4 Mg 3.01-3.14, 5 Al 3.06-3.09, 1 Si 3.08
12 Mg 0.6820 0.3954 0.9974  4 Al 2.86-3.10, 7 Mg 3.02-3.14, 1 Si 3.18
13 Mg 0.6833 0.9977 0.3963  4 Al 2.88-3.15, 1 Si 2.93, 7 Mg 3.02-3.14
14 Mg 0.7129 0.3156 0.3151  5 Al 2.88-3.15, 7 Mg 3.01-3.14
15 Mg 0.9982 0.3966 0.6816  5 Al 2.87-3.15, 7 Mg 3.02-3.14
16 Mg 0.9977 0.6833 0.3963  4 Al 2.88-3.15, 1 Si 2.93, 7 Mg 3.02-3.14
17 Mg 0.9989 0.6521 0.9998  4 Mg 3.01-3.14, 5 Al 3.06-3.09, 1 Si 3.08
18 Al 0.1796 0.8129 0.8124  3 Al 2.68-2.75, 3 Mg 2.87-2.95
19 Al 0.1798 0.9955 0.3636  2 Al 2.69-2.72, 1 Si 2.69, 3 Mg 2.87-2.96
20 Al 0.1850 0.3665 0.9992  3 Al 2.68-2.75, 3 Mg 2.86-2.95
21 Al 0.3656 0.9980 0.1843  3 Al 2.69-2.74, 3 Mg 2.88-2.97
22 Al 0.3665 0.1850 0.9992  3 Al 2.68-2.75, 3 Mg 2.86-2.95
23 Al 0.6320 0.8171 0.6337  3 Al 2.68-2.77, 3 Mg 2.88-2.98
24 Al 0.6354 0.6354 0.8285  1 Si 2.62, 2 Al 2.77, 1 Mg 2.88
25 Al 0.8129 0.1796 0.8124  3 Al 2.68-2.75, 3 Mg 2.87-2.95
26 Al 0.8171 0.6320 0.6337  3 Al 2.68-2.77, 3 Mg 2.88-2.98
27 Al 0.9955 0.1798 0.3636  2 Al 2.69-2.72, 1 Si 2.69, 3 Mg 2.87-2.96
28 Al 0.9980 0.3656 0.1843  3 Al 2.69-2.74, 3 Mg 2.88-2.97
29 Si 0.8161 0.8161 0.1835  3 Al 2.62-2.69, 3 Mg 2.84-2.93

Calculated values
E_tot: -6.2148 eV per atom
symmetry: Cm (8)
energy relative to the elements, uncorrected: -13 meV/atom

=====

Record 3
# MgAlSi2

A crystal of MgAlSi2 relaxed with PBEsol (SCAN, the Alexandria database).

a b c (Å): 3.3099 3.3099 6.1042
angles (deg): 90.00 90.00 90.00
Closest atoms and distances in Å follow each position.
Fractional positions:
1 Mg 0.0000 0.0000 0.0000  5 Si 2.83-2.93, 4 Al 2.95
2 Al 0.5000 0.5000 0.7048  5 Si 2.55-2.77
3 Si 0.0000 0.0000 0.4631  4 Si 2.57, 4 Al 2.77, 1 Mg 2.83
4 Si 0.5000 0.5000 0.2876  1 Al 2.55, 4 Si 2.57

Calculated values
E_tot: -7.9317 eV per atom
distance to the lowest polymorph of the same formula: 0.0 kJ per mole of atoms
symmetry: P4mm (99)
energy relative to the elements, uncorrected: 258 meV/atom